No. 1
A plane-wave DFT calculation with GGA-PBE was carried out for La2Tb2In after structural relaxation.

Summary:
DOS(E_F) = 10.823 states/eV/cell
Space-group type = No. 12
DFT formation energy = -77 kJ/mol of formula units
Total magnetic moment = 0.00 Bohr magnetons per cell

Cell lengths 5.5779, 6.7707, 9.7192 Å; angles 103.55, 90.00, 114.33 degrees
Element x y z (fractional)
Tb1 0.6512 0.3024 0.5551
Tb2 0.4775 0.9550 0.1560
Tb3 0.5225 0.0450 0.8440
Tb4 0.3488 0.6976 0.4449
La1 0.1627 0.3254 0.0513
La2 0.9758 0.9517 0.6635
La3 0.8373 0.6746 0.9487
La4 0.0242 0.0483 0.3365
In1 0.2547 0.5094 0.7318
In2 0.7453 0.4906 0.2682

---

No. 2
A plane-wave DFT calculation with GGA-PBE was carried out for BaLi2MnI8 after structural relaxation.

Summary:
DOS(E_F) = 1.828 states/eV/cell
Space-group type = No. 147
Total magnetic moment = 2.96 Bohr magnetons per cell
E_form (uncorrected) = -0.862 eV/atom

Cell lengths 7.3032, 7.3032, 9.4399 Å; angles 90.00, 90.00, 120.00 degrees
Each line ends with the local moment (μB).
Element x y z (fractional)
I1 0.0390 0.7238 0.3280  -0.05
I2 0.2762 0.3152 0.3280  -0.05
I3 0.6667 0.3333 0.0046  -0.06
I4 0.3152 0.0390 0.6720  -0.05
I5 0.9610 0.2762 0.6720  -0.05
I6 0.6848 0.9610 0.3280  -0.05
I7 0.3333 0.6667 0.9954  -0.06
I8 0.7238 0.6848 0.6720  -0.05
Mn1 0.0000 0.0000 0.5000  3.31
Li1 0.6667 0.3333 0.2910  0.00
Li2 0.3333 0.6667 0.7090  0.00
Ba1 0.0000 0.0000 0.0000  0.01

---

No. 3
A plane-wave DFT calculation with GGA-PBE was carried out for La3CeO7 after structural relaxation.

Summary:
DOS(E_F) = 15.957 states/eV/cell
Space-group type = No. 63
Total magnetic moment = 2.21 Bohr magnetons per cell
E_form (uncorrected) = -3.253 eV/atom

Cell lengths 6.9412, 6.9412, 8.0721 Å; angles 90.00, 90.00, 110.37 degrees
Each line ends with the local moment (μB).
Element x y z (fractional)
La1 0.4684 0.0026 0.7501  0.01
La2 0.4997 0.4997 0.5000  -0.01
La3 0.5003 0.5003 0.0000  -0.01
La4 0.0026 0.4684 0.2499  0.01
La5 0.9974 0.5316 0.7499  0.01
La6 0.5316 0.9974 0.2501  0.01
O1 0.6598 0.9064 0.9714  0.13
O2 0.9081 0.0919 0.2500  0.02
O3 0.6301 0.3699 0.7500  0.08
O4 0.6599 0.9064 0.5290  0.13
O5 0.3699 0.6301 0.2500  0.08
O6 0.0919 0.9081 0.7500  0.02
O7 0.0936 0.3401 0.9710  0.13
O8 0.9064 0.6599 0.4710  0.13
O9 0.3401 0.0936 0.0290  0.13
O10 0.0936 0.3402 0.5286  0.13
O11 0.3676 0.6324 0.7500  0.28
O12 0.9064 0.6598 0.0286  0.13
O13 0.3402 0.0936 0.4714  0.13
O14 0.6324 0.3676 0.2500  0.28
Ce1 0.0000 0.0000 0.0000  0.04
Ce2 0.0000 0.0000 0.5000  0.04

---

No. 4
A plane-wave DFT calculation with GGA-PBE was carried out for Sc2AsPd2 after structural relaxation.

Summary:
DOS(E_F) = 8.937 states/eV/cell
Space-group type = No. 127
DFT formation energy = -328 kJ/mol of formula units
Total magnetic moment = 0.00 Bohr magnetons per cell

Cell lengths 7.5337, 7.5337, 3.3810 Å; angles 90.00, 90.00, 90.00 degrees
Element x y z (fractional)
As1 0.5000 0.5000 0.0000
As2 0.0000 0.0000 0.0000
Sc1 0.6666 0.1666 0.0000
Sc2 0.8334 0.6666 0.0000
Sc3 0.1666 0.3334 0.0000
Sc4 0.3334 0.8334 0.0000
Pd1 0.1289 0.6289 0.5000
Pd2 0.3711 0.1289 0.5000
Pd3 0.6289 0.8711 0.5000
Pd4 0.8711 0.3711 0.5000

---

No. 5
A plane-wave DFT calculation with GGA-PBE was carried out for ScAl5 after structural relaxation.

Summary:
DOS(E_F) = 3.888 states/eV/cell
Space-group type = No. 8
DFT formation energy = -76 kJ/mol of formula units
Total magnetic moment = 0.00 Bohr magnetons per cell

Cell lengths 5.5670, 5.5670, 6.8386 Å; angles 76.04, 76.04, 31.15 degrees
Element x y z (fractional)
Sc1 0.7192 0.7192 0.0588
Al1 0.6671 0.6671 0.6614
Al2 0.3874 0.3874 0.7158
Al3 0.9966 0.9966 0.9979
Al4 0.3395 0.3395 0.3338
Al5 0.0569 0.0569 0.3988

---

No. 6
A plane-wave DFT calculation with GGA-PBE was carried out for La2EuSn after structural relaxation.

Summary:
DOS(E_F) = 5.838 states/eV/cell
Space-group type = No. 225
DFT formation energy = -127 kJ/mol of formula units
Total magnetic moment = 7.74 Bohr magnetons per cell

Cell lengths 5.6845, 5.6845, 5.6845 Å; angles 60.00, 60.00, 60.00 degrees
Each line ends with the local moment (μB).
Element x y z (fractional)
Sn1 0.5000 0.5000 0.5000  -0.04
La1 0.2500 0.2500 0.2500  0.13
La2 0.7500 0.7500 0.7500  0.13
Eu1 0.0000 0.0000 0.0000  6.97

---

No. 7
A plane-wave DFT calculation with GGA-PBE was carried out for MgGaAg2F after structural relaxation.

Summary:
DOS(E_F) = 1.839 states/eV/cell
Space-group type = No. 123
Total magnetic moment = 0.00 Bohr magnetons per cell
E_form (uncorrected) = -0.191 eV/atom

Cell lengths 4.7942, 4.3253, 4.7942 Å; angles 90.00, 90.00, 90.00 degrees
Element x y z (fractional)
Ga1 0.0000 0.5000 0.0000
Ag1 0.0000 0.0000 0.5000
Ag2 0.5000 0.0000 0.0000
Mg1 0.5000 0.5000 0.5000
F1 0.0000 0.0000 0.0000

---

No. 8
A plane-wave DFT calculation with GGA-PBE was carried out for BaTi2Se2 after structural relaxation.

Summary:
DOS(E_F) = 4.759 states/eV/cell
Space-group type = No. 139
Total magnetic moment = 0.00 Bohr magnetons per cell
E_form (uncorrected) = -1.117 eV/atom

Cell lengths 3.9794, 3.9794, 7.7140 Å; angles 75.05, 75.05, 90.00 degrees
Element x y z (fractional)
Ti1 0.2500 0.7500 0.5000
Ti2 0.7500 0.2500 0.5000
Se1 0.6299 0.6299 0.7402
Se2 0.3701 0.3701 0.2598
Ba1 0.0000 0.0000 0.0000

---

No. 9
A plane-wave DFT calculation with GGA-PBE was carried out for ScAlCo after structural relaxation.

Summary:
DOS(E_F) = 1.631 states/eV/cell
Space-group type = No. 216
DFT formation energy = -75 kJ/mol of formula units
Total magnetic moment = 0.00 Bohr magnetons per cell

Cell lengths 4.2034, 4.2034, 4.2034 Å; angles 60.00, 60.00, 60.00 degrees
Element x y z (fractional)
Al1 0.5000 0.5000 0.5000
Sc1 0.0000 0.0000 0.0000
Co1 0.2500 0.2500 0.2500

---

No. 10
A plane-wave DFT calculation with GGA-PBE was carried out for GdAlCdAg after structural relaxation.

Summary:
DOS(E_F) = 2.288 states/eV/cell
Space-group type = No. 216
DFT formation energy = -96 kJ/mol of formula units
Total magnetic moment = 7.08 Bohr magnetons per cell

Cell lengths 4.9489, 4.9489, 4.9489 Å; angles 60.00, 60.00, 60.00 degrees
Each line ends with the local moment (μB).
Element x y z (fractional)
Cd1 0.7500 0.7500 0.7500  -0.01
Al1 0.5000 0.5000 0.5000  -0.01
Gd1 0.2500 0.2500 0.2500  7.01
Ag1 0.0000 0.0000 0.0000  -0.01

---

No. 11
A plane-wave DFT calculation with GGA-PBE was carried out for Ba3HfN after structural relaxation.

Summary:
DOS(E_F) = 8.276 states/eV/cell
Space-group type = No. 221
Total magnetic moment = 3.60 Bohr magnetons per cell
E_form (uncorrected) = 0.458 eV/atom

Cell lengths 5.6394, 5.6394, 5.6394 Å; angles 90.00, 90.00, 90.00 degrees
Each line ends with the local moment (μB).
Element x y z (fractional)
Hf1 0.5000 0.5000 0.5000  1.33
Ba1 0.0000 0.0000 0.5000  0.12
Ba2 0.5000 0.0000 0.0000  0.17
Ba3 0.0000 0.5000 0.0000  0.12
N1 0.0000 0.0000 0.0000  -0.08

---

No. 12
A plane-wave DFT calculation with GGA-PBE was carried out for BC4 after structural relaxation.

Summary:
DOS(E_F) = 1.591 states/eV/cell
Space-group type = No. 12
DFT formation energy = 126 kJ/mol of formula units
Total magnetic moment = 0.00 Bohr magnetons per cell

Cell lengths 4.4896, 4.4896, 6.4011 Å; angles 116.92, 116.93, 32.41 degrees
Element x y z (fractional)
C1 0.2114 0.2114 0.8202
C2 0.2126 0.2126 0.0585
C3 0.7942 0.7942 0.4443
C4 0.3886 0.3886 0.8298
C5 0.8058 0.8058 0.2057
C6 0.5973 0.5973 0.3942
C7 0.3874 0.3874 0.5915
C8 0.0027 0.0027 0.2558
B1 0.0099 0.0099 0.0096
B2 0.5901 0.5901 0.6404

---

No. 13
A plane-wave DFT calculation with GGA-PBE was carried out for BaNbSbO6 after structural relaxation.

Summary:
DOS(E_F) = 0.000 states/eV/cell
Space-group type = No. 163
Total magnetic moment = 0.00 Bohr magnetons per cell
E_form (uncorrected) = -2.303 eV/atom

Cell lengths 5.4453, 5.4453, 11.5285 Å; angles 90.00, 90.00, 120.00 degrees
Element x y z (fractional)
Ba1 0.0000 0.0000 0.0000
Ba2 0.0000 0.0000 0.5000
Nb1 0.6667 0.3333 0.2500
Nb2 0.3333 0.6667 0.7500
O1 0.3919 0.9985 0.1518
O2 0.6081 0.6066 0.6518
O3 0.3934 0.3919 0.8482
O4 0.6066 0.9985 0.3482
O5 0.9985 0.6066 0.8482
O6 0.9985 0.3919 0.6518
O7 0.0015 0.6081 0.3482
O8 0.6066 0.6081 0.1518
O9 0.6081 0.0015 0.8482
O10 0.3934 0.0015 0.6518
O11 0.3919 0.3934 0.3482
O12 0.0015 0.3934 0.1518
Sb1 0.3333 0.6667 0.2500
Sb2 0.6667 0.3333 0.7500

---

No. 14
A plane-wave DFT calculation with GGA-PBE was carried out for CaLa2Ce3Se6 after structural relaxation.

Summary:
DOS(E_F) = 20.531 states/eV/cell
Space-group type = No. 12
Total magnetic moment = 3.44 Bohr magnetons per cell
E_form (uncorrected) = -1.890 eV/atom

Cell lengths 4.2275, 8.5442, 9.5187 Å; angles 103.40, 102.83, 90.00 degrees
Each line ends with the local moment (μB).
Element x y z (fractional)
Se1 0.6644 0.5863 0.3288  -0.01
Se2 0.0017 0.7553 0.0035  -0.01
Se3 0.6638 0.0769 0.3277  -0.01
Se4 0.3356 0.4137 0.6712  -0.01
Se5 0.9983 0.2447 0.9965  -0.01
Se6 0.3362 0.9231 0.6723  -0.01
Ce1 0.1684 0.8321 0.3367  0.92
Ce2 0.5000 0.5000 0.0000  0.97
Ce3 0.8316 0.1679 0.6633  0.92
Ca1 0.5000 0.0000 0.0000  0.01
La1 0.8322 0.6645 0.6643  0.02
La2 0.1678 0.3355 0.3357  0.02

---

No. 15
A plane-wave DFT calculation with GGA-PBE was carried out for Ba2Cd2Pb5 after structural relaxation.

Summary:
DOS(E_F) = 6.171 states/eV/cell
Space-group type = No. 123
DFT formation energy = -267 kJ/mol of formula units
Total magnetic moment = 0.00 Bohr magnetons per cell

Cell lengths 5.0814, 5.0814, 11.5833 Å; angles 90.00, 90.00, 90.00 degrees
Element x y z (fractional)
Pb1 0.5000 0.5000 0.5000
Pb2 0.0000 0.5000 0.7268
Pb3 0.0000 0.5000 0.2732
Pb4 0.5000 0.0000 0.2732
Pb5 0.5000 0.0000 0.7268
Ba1 0.0000 0.0000 0.0000
Ba2 0.0000 0.0000 0.5000
Cd1 0.5000 0.5000 0.1197
Cd2 0.5000 0.5000 0.8803

---

No. 16
A plane-wave DFT calculation with GGA-PBE was carried out for EuICl after structural relaxation.

Summary:
Space-group type = No. 62
Total magnetic moment = 28.00 Bohr magnetons per cell
E_form (uncorrected) = -1.979 eV/atom

Cell lengths 4.6877, 8.2537, 9.5538 Å; angles 90.00, 90.00, 90.00 degrees
Each line ends with the local moment (μB).
Element x y z (fractional)
Cl1 0.7500 0.1433 0.0634  -0.02
Cl2 0.2500 0.3567 0.5634  -0.02
Cl3 0.2500 0.8567 0.9366  -0.02
Cl4 0.7500 0.6433 0.4366  -0.02
Eu1 0.7500 0.7861 0.1209  6.89
Eu2 0.2500 0.7139 0.6209  6.89
Eu3 0.7500 0.2861 0.3791  6.89
Eu4 0.2500 0.2139 0.8791  6.89
I1 0.7500 0.5262 0.8319  -0.03
I2 0.2500 0.9738 0.3319  -0.03
I3 0.7500 0.0262 0.6681  -0.03
I4 0.2500 0.4738 0.1681  -0.03

---

No. 17
A plane-wave DFT calculation with GGA-PBE was carried out for TaBeCr after structural relaxation.

Summary:
DOS(E_F) = 4.093 states/eV/cell
Space-group type = No. 74
DFT formation energy = -32 kJ/mol of formula units
Total magnetic moment = 0.00 Bohr magnetons per cell

Cell lengths 4.7748, 4.7748, 4.7748 Å; angles 90.87, 60.39, 121.40 degrees
Element x y z (fractional)
Cr1 0.0000 0.5000 0.0000
Cr2 0.5000 0.0000 0.0000
Be1 0.5000 0.5000 0.0000
Be2 0.0000 0.5000 0.5000
Ta1 0.2500 0.1236 0.6264
Ta2 0.7500 0.8764 0.3736

---

No. 18
A plane-wave DFT calculation with GGA-PBE was carried out for SrCaOs2 after structural relaxation.

Summary:
DOS(E_F) = 4.261 states/eV/cell
Space-group type = No. 12
DFT formation energy = 377 kJ/mol of formula units
Total magnetic moment = 0.00 Bohr magnetons per cell

Cell lengths 5.6952, 5.5078, 2.9505 Å; angles 81.38, 79.25, 116.40 degrees
Element x y z (fractional)
Os1 0.0000 0.0000 0.0000
Os2 0.0000 0.5000 0.5000
Sr1 0.5000 0.5000 0.0000
Ca1 0.5000 0.0000 0.5000

---

No. 19
A plane-wave DFT calculation with GGA-PBE was carried out for La3Ho3Sc after structural relaxation.

Summary:
DOS(E_F) = 41.441 states/eV/cell
Space-group type = No. 62
DFT formation energy = 78 kJ/mol of formula units
Total magnetic moment = 0.00 Bohr magnetons per cell

Cell lengths 5.6866, 13.2347, 12.4149 Å; angles 90.00, 90.00, 90.00 degrees
Element x y z (fractional)
La1 0.2500 0.6202 0.1869
La2 0.2500 0.3588 0.1899
La3 0.7500 0.1412 0.6899
La4 0.2500 0.2906 0.5740
La5 0.7500 0.2094 0.0740
La6 0.2500 0.8588 0.3101
La7 0.7500 0.7094 0.4260
La8 0.7500 0.3798 0.8131
La9 0.2500 0.1202 0.3131
La10 0.7500 0.8798 0.6869
La11 0.2500 0.7906 0.9260
La12 0.7500 0.6412 0.8101
Ho1 0.7500 0.9930 0.4388
Ho2 0.7500 0.7572 0.1106
Ho3 0.7500 0.9741 0.9348
Ho4 0.2500 0.7428 0.6106
Ho5 0.7500 0.4930 0.0612
Ho6 0.7500 0.4741 0.5652
Ho7 0.2500 0.5070 0.9388
Ho8 0.2500 0.0259 0.0652
Ho9 0.2500 0.0070 0.5612
Ho10 0.2500 0.5259 0.4348
Ho11 0.2500 0.2428 0.8894
Ho12 0.7500 0.2572 0.3894
Sc1 0.2500 0.5101 0.6951
Sc2 0.2500 0.0101 0.8049
Sc3 0.7500 0.9899 0.1951
Sc4 0.7500 0.4899 0.3049

---

No. 20
A plane-wave DFT calculation with GGA-PBE was carried out for NbRu2F after structural relaxation.

Summary:
DOS(E_F) = 5.298 states/eV/cell
Space-group type = No. 225
Total magnetic moment = 0.00 Bohr magnetons per cell
E_form (uncorrected) = 0.139 eV/atom

Cell lengths 4.3401, 4.3401, 4.3401 Å; angles 60.00, 60.00, 60.00 degrees
Element x y z (fractional)
Ru1 0.2500 0.2500 0.2500
Ru2 0.7500 0.7500 0.7500
Nb1 0.5000 0.5000 0.5000
F1 0.0000 0.0000 0.0000